# 1
Here is an optimized crystal structure of SrNbHg2Se from Alexandria. Energies are from PBE-GGA.

Calculated values
Mass density = 6.49 g cm⁻³
Formation energy without anion corrections = 691 meV per atom
DFT total energy = -12.384 eV/cell
M_tot = 4.7 μB/f.u.
DOS(E_F) = 0.86 states/eV per atom

Lattice parameters (Å, degrees): 5.464 5.464 5.661 90.00 90.00 90.00
Sites, in units of the cell vectors:
Sr (0.000, 0.000, 0.000)
Nb (0.500, 0.500, 0.000)
Hg (0.000, 0.500, 0.500)
Hg (0.500, 0.000, 0.500)
Se (0.000, 0.000, 0.500)



# 2
Here is an optimized crystal structure of NbTcHg2Se from Alexandria. Energies are from PBE-GGA.

Calculated values
Mass density = 7.96 g cm⁻³
Formation energy without anion corrections = 1220 meV per atom
DFT total energy = -18.425 eV/cell
M_tot = 1.6 μB/f.u.
DOS(E_F) = 0.86 states/eV per atom

Lattice parameters (Å, degrees): 5.424 5.424 4.757 90.00 90.00 90.00
Sites, in units of the cell vectors:
Nb (0.000, 0.000, 0.000)
Tc (0.000, 0.000, 0.500)
Hg (0.000, 0.500, 0.000)
Hg (0.500, 0.000, 0.000)
Se (0.500, 0.500, 0.500)



# 3
Here is an optimized crystal structure of NbTcHg2Se from Alexandria. Energies are from PBE-GGA.

Calculated values
Mass density = 8.65 g cm⁻³
Formation energy without anion corrections = 1043 meV per atom
DFT total energy = -19.310 eV/cell
M_tot = 3.9 μB/f.u.
DOS(E_F) = 1.05 states/eV per atom

Lattice parameters (Å, degrees): 5.304 5.304 4.581 90.00 90.00 90.00
Sites, in units of the cell vectors:
Nb (0.000, 0.000, 0.000)
Tc (0.500, 0.500, 0.500)
Hg (0.000, 0.500, 0.500)
Hg (0.500, 0.000, 0.500)
Se (0.500, 0.500, 0.000)



# 4
Here is an optimized crystal structure of Nb2SiHg from Alexandria. Energies are from PBE-GGA.

Calculated values
Mass density = 8.92 g cm⁻³
Formation energy without anion corrections = 464 meV per atom
DFT total energy = -48.017 eV/cell
M_tot = 0.0 μB/f.u.
DOS(E_F) = 0.46 states/eV per atom

Lattice parameters (Å, degrees): 10.274 10.274 10.274 157.83 157.83 31.55
Sites, in units of the cell vectors:
Nb (0.111, 0.625, 0.986)
Nb (0.375, 0.361, 0.486)
Nb (0.639, 0.125, 0.014)
Nb (0.875, 0.889, 0.514)
Si (0.000, 0.000, 0.000)
Si (0.750, 0.250, 0.500)
Hg (0.250, 0.750, 0.500)
Hg (0.500, 0.500, 0.000)



# 5
Here is an optimized crystal structure of Nb2Si2Hg from Alexandria. Energies are from PBE-GGA.

Calculated values
Mass density = 8.81 g cm⁻³
Formation energy without anion corrections = -133 meV per atom
DFT total energy = -63.903 eV/cell
M_tot = 0.0 μB/f.u.
DOS(E_F) = 0.49 states/eV per atom

Lattice parameters (Å, degrees): 6.913 6.913 3.493 90.00 90.00 90.00
Sites, in units of the cell vectors:
Nb (0.163, 0.337, 0.000)
Nb (0.337, 0.837, 0.000)
Nb (0.663, 0.163, 0.000)
Nb (0.837, 0.663, 0.000)
Si (0.126, 0.626, 0.500)
Si (0.374, 0.126, 0.500)
Si (0.626, 0.874, 0.500)
Si (0.874, 0.374, 0.500)
Hg (0.000, 0.000, 0.500)
Hg (0.500, 0.500, 0.500)



# 6
Here is an optimized crystal structure of NbSiHg2 from Alexandria. Energies are from PBE-GGA.

Calculated values
Mass density = 10.74 g cm⁻³
Formation energy without anion corrections = 466 meV per atom
DFT total energy = -28.465 eV/cell
M_tot = 0.0 μB/f.u.
DOS(E_F) = 0.80 states/eV per atom

Lattice parameters (Å, degrees): 6.089 6.089 6.089 101.53 101.53 126.88
Sites, in units of the cell vectors:
Nb (0.000, 0.000, 0.000)
Nb (0.750, 0.250, 0.500)
Si (0.250, 0.750, 0.500)
Si (0.500, 0.500, 0.000)
Hg (0.152, 0.625, 0.027)
Hg (0.375, 0.402, 0.527)
Hg (0.598, 0.125, 0.973)
Hg (0.875, 0.848, 0.473)



# 7
Here is an optimized crystal structure of NbSiHg2W from Alexandria. Energies are from PBE-GGA.

Calculated values
Mass density = 8.50 g cm⁻³
Formation energy without anion corrections = 1734 meV per atom
DFT total energy = -20.378 eV/cell
M_tot = 1.1 μB/f.u.
DOS(E_F) = 0.77 states/eV per atom

Lattice parameters (Å, degrees): 5.387 5.387 4.752 90.00 90.00 90.00
Sites, in units of the cell vectors:
Nb (0.000, 0.000, 0.000)
Si (0.500, 0.500, 0.500)
Hg (0.000, 0.500, 0.000)
Hg (0.500, 0.000, 0.000)
W (0.000, 0.000, 0.500)



# 8
Here is an optimized crystal structure of Sm2NbHg from Alexandria. Energies are from PBE-GGA.

Calculated values
Mass density = 9.40 g cm⁻³
ΔE_f = 0.451 eV per atom
DFT total energy = -18.004 eV/cell
M_tot = 0.2 μB/f.u.
DOS(E_F) = 1.58 states/eV per atom

Lattice parameters (Å, degrees): 11.552 11.552 11.552 16.23 16.23 16.23
Sites, in units of the cell vectors:
Sm (0.086, 0.086, 0.086)
Sm (0.914, 0.914, 0.914)
Nb (0.000, 0.000, 0.000)
Hg (0.500, 0.500, 0.500)



# 9
Here is an optimized crystal structure of Nb3SnHg from Alexandria. Energies are from PBE-GGA.

Calculated values
Mass density = 7.71 g cm⁻³
ΔE_f = 1.559 eV per atom
DFT total energy = -26.718 eV/cell
M_tot = 0.0 μB/f.u.
DOS(E_F) = 1.43 states/eV per atom

Lattice parameters (Å, degrees): 5.051 5.051 5.051 90.00 90.00 90.00
Sites, in units of the cell vectors:
Nb (0.000, 0.000, 0.500)
Nb (0.000, 0.500, 0.000)
Nb (0.500, 0.000, 0.000)
Sn (0.000, 0.000, 0.000)
Hg (0.500, 0.500, 0.500)



# 10
Here is an optimized crystal structure of Nb3SnHg from Alexandria. Energies are from PBE-GGA.

Calculated values
Mass density = 7.71 g cm⁻³
ΔE_f = 1.631 eV per atom
DFT total energy = -26.361 eV/cell
M_tot = 0.0 μB/f.u.
DOS(E_F) = 2.44 states/eV per atom

Lattice parameters (Å, degrees): 5.050 5.050 5.050 90.00 90.00 90.00
Sites, in units of the cell vectors:
Nb (0.000, 0.000, 0.500)
Nb (0.000, 0.500, 0.000)
Nb (0.500, 0.000, 0.000)
Sn (0.500, 0.500, 0.500)
Hg (0.000, 0.000, 0.000)



# 11
Here is an optimized crystal structure of NbSn2Hg from Alexandria. Energies are from PBE-GGA.

Calculated values
Mass density = 8.96 g cm⁻³
ΔE_f = 0.486 eV per atom
DFT total energy = -32.864 eV/cell
M_tot = 0.0 μB/f.u.
DOS(E_F) = 1.13 states/eV per atom

Lattice parameters (Å, degrees): 6.455 6.455 6.455 102.67 102.67 124.14
Sites, in units of the cell vectors:
Nb (0.000, 0.000, 0.000)
Nb (0.750, 0.250, 0.500)
Sn (0.108, 0.625, 0.983)
Sn (0.375, 0.358, 0.483)
Sn (0.642, 0.125, 0.017)
Sn (0.875, 0.892, 0.517)
Hg (0.250, 0.750, 0.500)
Hg (0.500, 0.500, 0.000)



# 12
Here is an optimized crystal structure of Nb2Sn2Hg from Alexandria. Energies are from PBE-GGA.

Calculated values
Mass density = 9.54 g cm⁻³
ΔE_f = 0.056 eV per atom
DFT total energy = -56.337 eV/cell
M_tot = 0.0 μB/f.u.
DOS(E_F) = 0.46 states/eV per atom

Lattice parameters (Å, degrees): 7.630 7.630 3.730 90.00 90.00 90.00
Sites, in units of the cell vectors:
Nb (0.127, 0.373, 0.000)
Nb (0.373, 0.873, 0.000)
Nb (0.627, 0.127, 0.000)
Nb (0.873, 0.627, 0.000)
Sn (0.167, 0.667, 0.500)
Sn (0.333, 0.167, 0.500)
Sn (0.667, 0.833, 0.500)
Sn (0.833, 0.333, 0.500)
Hg (0.000, 0.000, 0.000)
Hg (0.500, 0.500, 0.000)